No. 1
VASP calculation (GGA-PBE) on a relaxed CrNiIr2 crystal.

Results
**Calculated volume**: 13.58 A^3/atom
**Space-group type**: P2/m, No. 10
**VASP energy**: -32.4 eV/cell
**Fermi-level density of states**: 1.859 states/eV per atom
**Theoretical density**: 15.1 g cm⁻³

Cell: 2.6666 4.3506 4.6860 Å, 90.00 92.15 90.00°
With the nearest neighbours (Å) after each atom.
Fractional positions:
Cr  0.0000  0.0000  0.0000  4 Ir 2.60, 4 Ni 2.65-2.74, 2 Cr 2.67
Ni  0.5000  0.0000  0.5000  4 Ir 2.55, 4 Cr 2.65-2.74, 2 Ni 2.67
Ir  0.2636  0.5000  0.7432  2 Ni 2.55, 2 Cr 2.60, 6 Ir 2.63-2.83
Ir  0.7364  0.5000  0.2568  2 Ni 2.55, 2 Cr 2.60, 6 Ir 2.63-2.83



No. 2
VASP calculation (GGA-PBE) on a relaxed Re2AgW crystal.

Results
**Calculated volume**: 15.85 A^3/atom
**Energy above the most stable polymorph in this dataset**: 0.2041 eV/atom
**Space-group type**: P2/m, No. 10
**Fermi-level density of states**: 0.656 states/eV per atom
**Theoretical density**: 17.4 g cm⁻³

Cell: 2.6851 4.4664 5.3796 Å, 90.00 100.71 90.00°
With the nearest neighbours (Å) after each atom.
Fractional positions:
Re  0.2105  0.0000  0.2496  4 Re 2.69-2.85, 2 W 2.72, 2 Ag 2.79
Re  0.7895  0.0000  0.7504  4 Re 2.69-2.85, 2 W 2.72, 2 Ag 2.79
Ag  0.5000  0.5000  0.0000  2 Ag 2.69, 2 W 2.77, 4 Re 2.79
W  0.0000  0.5000  0.5000  2 W 2.69, 4 Re 2.72, 2 Ag 2.77



No. 3
VASP calculation (GGA-PBE) on a relaxed RbCe3Te6 crystal.

Results
**Calculated volume**: 41.38 A^3/atom
**Space-group type**: P2_1/m, No. 11
**Fermi-level density of states**: 0.972 states/eV per atom
**Theoretical density**: 5.1 g cm⁻³
**ΔE_f (raw)**: -1197.0 meV per atom

Cell: 13.5063 4.5713 13.9859 Å, 90.00 106.58 90.00°
With the nearest neighbours (Å) after each atom.
Fractional positions:
Rb  0.1401  0.2500  0.4268  6 Te 3.69-3.80
Rb  0.8599  0.7500  0.5732  6 Te 3.69-3.80
Ce  0.1570  0.7500  0.0459  6 Te 3.06-3.18
Ce  0.2368  0.2500  0.7901  6 Te 3.08-3.20
Ce  0.4605  0.2500  0.3488  6 Te 3.08-3.15
Ce  0.5395  0.7500  0.6512  6 Te 3.08-3.15
Ce  0.7632  0.7500  0.2099  6 Te 3.08-3.20
Ce  0.8430  0.2500  0.9541  6 Te 3.06-3.18
Te  0.0521  0.2500  0.8918  4 Ce 3.18-3.20
Te  0.1445  0.7500  0.6441  2 Ce 3.08
Te  0.2377  0.2500  0.1971  3 Ce 3.09-3.15
Te  0.3272  0.7500  0.9413  3 Ce 3.06-3.12
Te  0.3665  0.7500  0.4497  3 Ce 3.11-3.14
Te  0.4531  0.2500  0.7521  3 Ce 3.08-3.12
Te  0.5469  0.7500  0.2479  3 Ce 3.08-3.12
Te  0.6335  0.2500  0.5503  3 Ce 3.11-3.14
Te  0.6728  0.2500  0.0587  3 Ce 3.06-3.12
Te  0.7623  0.7500  0.8029  3 Ce 3.09-3.15
Te  0.8555  0.2500  0.3559  2 Ce 3.08
Te  0.9479  0.7500  0.1082  4 Ce 3.18-3.20



No. 4
VASP calculation (GGA-PBE) on a relaxed Sc2CrPdC crystal.

Results
**Calculated volume**: 15.70 A^3/atom
**Space-group type**: P4/mmm, No. 123
**VASP energy**: -39.0 eV/cell
**Fermi-level density of states**: 0.573 states/eV per atom
**Theoretical density**: 5.5 g cm⁻³

Cell: 4.5459 4.5459 3.7982 Å, 90.00 90.00 90.00°
With the nearest neighbours (Å) after each atom.
Fractional positions:
Sc  0.0000  0.5000  0.0000  2 C 2.27
Sc  0.5000  0.0000  0.0000  2 C 2.27
Cr  0.0000  0.0000  0.5000  2 C 1.90
Pd  0.5000  0.5000  0.5000  8 Sc 2.96, 4 Cr 3.21
C  0.0000  0.0000  0.0000  2 Cr 1.90



No. 5
VASP calculation (GGA-PBE) on a relaxed Al2TcNi crystal.

Results
**Calculated volume**: 13.74 A^3/atom
**Space-group type**: R-3m, No. 166
**VASP energy**: -24.8 eV/cell
**Fermi-level density of states**: 0.796 states/eV per atom
**Theoretical density**: 6.4 g cm⁻³

Cell: 8.2782 8.2782 8.2782 Å, 19.44 19.44 19.44°
With the nearest neighbours (Å) after each atom.
Fractional positions:
Al  0.2457  0.2457  0.2457  3 Ni 2.51, 3 Tc 2.68, 6 Al 2.80
Al  0.7543  0.7543  0.7543  3 Ni 2.51, 3 Tc 2.68, 6 Al 2.80
Tc  0.0000  0.0000  0.0000  6 Al 2.68, 6 Tc 2.80
Ni  0.5000  0.5000  0.5000  6 Al 2.51, 6 Ni 2.80



No. 6
VASP calculation (GGA-PBE) on a relaxed La3CoIBr crystal.

Results
**Calculated volume**: 32.66 A^3/atom
**Space-group type**: P2_1/m, No. 11
**Fermi-level density of states**: 0.878 states/eV per atom
**Theoretical density**: 5.8 g cm⁻³
**ΔE_f (raw)**: -862.0 meV per atom

Cell: 9.4376 3.9885 10.9328 Å, 90.00 107.77 90.00°
With the nearest neighbours (Å) after each atom.
Fractional positions:
La  0.0426  0.2500  0.3051  2 Co 2.67
La  0.1885  0.7500  0.0339  3 Co 2.76-3.07
La  0.3523  0.2500  0.8060  1 Co 2.84
La  0.6477  0.7500  0.1940  1 Co 2.84
La  0.8115  0.2500  0.9661  3 Co 2.76-3.07
La  0.9574  0.7500  0.6949  2 Co 2.67
Co  0.0739  0.2500  0.8561  5 La 2.67-2.84
Co  0.9261  0.7500  0.1439  5 La 2.67-2.84
I  0.3938  0.2500  0.2877  5 La 3.38-3.50, 1 Br 3.73
I  0.6062  0.7500  0.7123  5 La 3.38-3.50, 1 Br 3.73
Br  0.1962  0.7500  0.5542  5 La 3.09-3.35
Br  0.8038  0.2500  0.4458  5 La 3.09-3.35



No. 7
VASP calculation (GGA-PBE) on a relaxed InPbO2 crystal.

Results
**Calculated volume**: 16.84 A^3/atom
**Energy above the most stable polymorph in this dataset**: 0.0000 eV/atom
**Space-group type**: R-3m, No. 166
**Fermi-level density of states**: 0.106 states/eV per atom
**Theoretical density**: 8.7 g cm⁻³
**ΔE_f (raw)**: -1196.0 meV per atom

Cell: 7.2861 7.2861 7.2861 Å, 26.39 26.39 26.39°
With the nearest neighbours (Å) after each atom.
Fractional positions:
In  0.0000  0.0000  0.0000  6 O 2.21
Pb  0.5000  0.5000  0.5000  2 O 2.41
O  0.3855  0.3855  0.3855  3 In 2.21, 1 Pb 2.41
O  0.6145  0.6145  0.6145  3 In 2.21, 1 Pb 2.41



No. 8
VASP calculation (GGA-PBE) on a relaxed Nd5Rh2 crystal.

Results
**Calculated volume**: 29.00 A^3/atom
**Space-group type**: C2/c, No. 15
**VASP energy**: -83.8 eV/cell
**Fermi-level density of states**: 1.067 states/eV per atom
**Theoretical density**: 7.6 g cm⁻³

Cell: 9.0922 9.0922 7.3245 Å, 96.64 96.64 42.51°
With the nearest neighbours (Å) after each atom.
Fractional positions:
Nd  0.0737  0.9263  0.7500  4 Rh 2.98-3.00
Nd  0.1430  0.2891  0.3139  2 Rh 2.91-2.94
Nd  0.2891  0.1430  0.8139  2 Rh 2.91-2.94
Nd  0.3000  0.5106  0.0800  2 Rh 2.86-2.91
Nd  0.4894  0.7000  0.4200  2 Rh 2.86-2.91
Nd  0.5106  0.3000  0.5800  2 Rh 2.86-2.91
Nd  0.7000  0.4894  0.9200  2 Rh 2.86-2.91
Nd  0.7109  0.8570  0.1861  2 Rh 2.91-2.94
Nd  0.8570  0.7109  0.6861  2 Rh 2.91-2.94
Nd  0.9263  0.0737  0.2500  4 Rh 2.98-3.00
Rh  0.0890  0.6888  0.4222  6 Nd 2.86-3.00
Rh  0.3112  0.9110  0.0778  6 Nd 2.86-3.00
Rh  0.6888  0.0890  0.9222  6 Nd 2.86-3.00
Rh  0.9110  0.3112  0.5778  6 Nd 2.86-3.00



no.,magnetization (μB/atom)
1,0.432
2,0.000
3,0.111
4,0.334
5,0.000
6,0.000
7,0.000
8,0.000